The following is a DFT calculation (PBE) of CdCo2P after structural relaxation.

a b c (Å): 6.8208 6.8208 6.8208
angles (deg): 153.52 156.29 35.84
With the nearest neighbours (Å) after each atom.
Positions (direct):
Cd 0.3030 0.8030 0.5000  6 Co 2.78-2.80, 2 Cd 2.80
Co 0.9884 0.9884 0.0000  4 P 2.24
Co 0.6607 0.1607 0.5000  2 P 2.14
P 0.5479 0.5479 0.0000  6 Co 2.14-2.24

* energy above the lowest structure with this stoichiometry: 39 meV per atom
* size of the total moment: 0.000 μB per cell
* volume: 14.2 Å³/atom
* energy relative to the elements: -99.3 meV per atom